The following is a DFT calculation (GGA-PBE) of a relaxed FeCu2Re crystal.

```
data_FeCu2Re
_cell_length_a 3.548
_cell_length_b 3.548
_cell_length_c 4.000
_cell_angle_alpha 90.00
_cell_angle_beta 90.00
_cell_angle_gamma 90.00
_symmetry_space_group_name_H-M 'P 1'
_symmetry_Int_Tables_number 1
_symmetry_space_group_name_Hall 'P 1'
loop_
_atom_site_label
_atom_site_type_symbol
_atom_site_fract_x
_atom_site_fract_y
_atom_site_fract_z
_atom_site_occupancy
Fe1 Fe 0.000 0.000 0.000 1
Cu1 Cu 0.000 0.500 0.500 1
Cu2 Cu 0.500 0.000 0.500 1
Re1 Re 0.500 0.500 0.000 1
```

Total energy, eV/atom: -6.883
Total moment, μB per formula unit: 2.26
Energy above the most stable polymorph in this dataset, meV/atom: 207

=====

The following is a DFT calculation (GGA-PBE) of a relaxed Fe2CuRe crystal.

```
data_Fe2CuRe
_cell_length_a 3.684
_cell_length_b 3.684
_cell_length_c 3.561
_cell_angle_alpha 90.00
_cell_angle_beta 90.00
_cell_angle_gamma 90.00
_symmetry_space_group_name_H-M 'P 1'
_symmetry_Int_Tables_number 1
_symmetry_space_group_name_Hall 'P 1'
loop_
_atom_site_label
_atom_site_type_symbol
_atom_site_fract_x
_atom_site_fract_y
_atom_site_fract_z
_atom_site_occupancy
Fe1 Fe 0.000 0.500 0.000 1
Fe2 Fe 0.500 0.000 0.000 1
Cu1 Cu 0.000 0.000 0.500 1
Re1 Re 0.500 0.500 0.500 1
```

Total energy, eV/atom: -8.075
Total moment, μB per formula unit: 2.56
Energy above the most stable polymorph in this dataset, meV/atom: 118

=====

The following is a DFT calculation (GGA-PBE) of a relaxed Fe2CuRe crystal.

```
data_Fe2CuRe
_cell_length_a 8.593
_cell_length_b 2.604
_cell_length_c 4.527
_cell_angle_alpha 90.00
_cell_angle_beta 100.06
_cell_angle_gamma 90.00
_symmetry_space_group_name_H-M 'P 1'
_symmetry_Int_Tables_number 1
_symmetry_space_group_name_Hall 'P 1'
loop_
_atom_site_label
_atom_site_type_symbol
_atom_site_fract_x
_atom_site_fract_y
_atom_site_fract_z
_atom_site_occupancy
Fe1 Fe 0.000 0.000 0.000 1
Fe2 Fe 0.243 0.500 0.260 1
Fe3 Fe 0.500 0.500 0.000 1
Fe4 Fe 0.743 0.000 0.260 1
Cu1 Cu 0.494 0.000 0.490 1
Cu2 Cu 0.994 0.500 0.490 1
Re1 Re 0.249 0.000 0.766 1
Re2 Re 0.749 0.500 0.766 1
```

Total energy, eV/atom: -8.170
Total moment, μB per formula unit: 3.73
Energy above the most stable polymorph in this dataset, meV/atom: 24

=====

- Which formula does entry 2 have?
  Fe2CuRe

=====

- Number 3 is which compound?
  Fe2CuRe

=====

- The lowest energy above the most stable polymorph in this dataset belongs to which entry?
  number 3

=====

- Number 1 is which compound?
  FeCu2Re